No. 1
The following is a DFT calculation (PBE) of crystalline SrMnV2Hg at its relaxed geometry.

Cell and atoms, written as CIF:
```
data_SrMnV2Hg
_space_group_name_H-M_alt 'P 4/m m m'
_space_group_IT_number 123
_space_group_name_Hall '-P 4 2'
_cell_length_a 5.161
_cell_length_b 5.161
_cell_length_c 4.995
_cell_angle_alpha 90.00
_cell_angle_beta 90.00
_cell_angle_gamma 90.00
loop_
_atom_site_label
_atom_site_type_symbol
_atom_site_fract_x
_atom_site_fract_y
_atom_site_fract_z
_atom_site_occupancy
Sr1 Sr 0.000 0.000 0.000 1
Mn1 Mn 0.500 0.500 0.000 1
V1 V 0.000 0.500 0.500 1
Hg1 Hg 0.500 0.500 0.500 1
```

Results
* D(E_F): 10.63 states/eV/cell
* M_tot: 7.02 Bohr magnetons per cell


No. 2
The following is a DFT calculation (PBE) of crystalline TaMnHg at its relaxed geometry.

Cell and atoms, written as CIF:
```
data_TaMnHg
_space_group_name_H-M_alt 'P 3 m 1'
_space_group_IT_number 156
_cell_length_a 2.9965
_cell_length_b 2.9965
_cell_length_c 7.0369
_cell_angle_alpha 90.00
_cell_angle_beta 90.00
_cell_angle_gamma 120.00
loop_
_space_group_symop_operation_xyz
'x,y,z'
'-y,x-y,z'
'-x+y,-x,z'
'-y,-x,z'
'-x+y,y,z'
'x,x-y,z'
loop_
_atom_site_label
_atom_site_type_symbol
_atom_site_fract_x
_atom_site_fract_y
_atom_site_fract_z
_atom_site_occupancy
Ta1 Ta 0.0000 0.0000 0.0000 1
Mn1 Mn 0.3333 0.6667 0.6940 1
Hg1 Hg 0.6667 0.3333 0.3613 1
```

Results
* D(E_F): 2.08 states/eV/cell
* excess energy over the best structure of this formula in the dataset: 0.26 eV per formula unit
* M_tot: 3.52 Bohr magnetons per cell


No. 3
The following is a DFT calculation (PBE) of crystalline TaMnHg3 at its relaxed geometry.

Cell and atoms, written as CIF:
```
data_TaMnHg3
_space_group_name_H-M_alt 'P m -3 m'
_space_group_IT_number 221
_space_group_name_Hall '-P 4 2 3'
_cell_length_a 5.369
_cell_length_b 5.369
_cell_length_c 5.369
_cell_angle_alpha 90.00
_cell_angle_beta 90.00
_cell_angle_gamma 90.00
loop_
_atom_site_label
_atom_site_type_symbol
_atom_site_fract_x
_atom_site_fract_y
_atom_site_fract_z
_atom_site_occupancy
Ta1 Ta 0.000 0.000 0.000 1
Mn1 Mn 0.500 0.500 0.500 1
Hg1 Hg 0.000 0.000 0.500 1
```

Results
* D(E_F): 5.16 states/eV/cell
* excess energy over the best structure of this formula in the dataset: 0.00 eV per formula unit
* M_tot: 3.53 Bohr magnetons per cell


No. 4
The following is a DFT calculation (PBE) of crystalline Ta2Mn2Hg at its relaxed geometry.

Cell and atoms, written as CIF:
```
data_Ta2Mn2Hg
_space_group_name_H-M_alt 'I 4/m m m'
_space_group_IT_number 139
_space_group_name_Hall '-I 4 2'
_cell_length_a 4.146
_cell_length_b 4.146
_cell_length_c 10.102
_cell_angle_alpha 90.00
_cell_angle_beta 90.00
_cell_angle_gamma 90.00
loop_
_atom_site_label
_atom_site_type_symbol
_atom_site_fract_x
_atom_site_fract_y
_atom_site_fract_z
_atom_site_occupancy
Ta1 Ta 0.000 0.500 0.250 1
Mn1 Mn 0.000 0.000 0.109 1
Hg1 Hg 0.000 0.000 0.500 1
```

Results
* D(E_F): 12.39 states/eV/cell
* M_tot: 0.88 Bohr magnetons per cell


No. 5
The following is a DFT calculation (PBE) of crystalline TaMnHg2 at its relaxed geometry.

Cell and atoms, written as CIF:
```
data_TaMnHg2
_space_group_name_H-M_alt 'I -4 m 2'
_space_group_IT_number 119
_space_group_name_Hall 'I -4 -2'
_cell_length_a 4.202
_cell_length_b 4.202
_cell_length_c 8.366
_cell_angle_alpha 90.00
_cell_angle_beta 90.00
_cell_angle_gamma 90.00
loop_
_atom_site_label
_atom_site_type_symbol
_atom_site_fract_x
_atom_site_fract_y
_atom_site_fract_z
_atom_site_occupancy
Ta1 Ta 0.000 0.000 0.000 1
Mn1 Mn 0.000 0.500 0.250 1
Hg1 Hg 0.000 0.000 0.500 1
Hg2 Hg 0.000 0.500 0.750 1
```

Results
* D(E_F): 5.07 states/eV/cell
* M_tot: 4.27 Bohr magnetons per cell


No. 6
The following is a DFT calculation (PBE) of crystalline TaMnHg at its relaxed geometry.

Cell and atoms, written as CIF:
```
data_TaMnHg
_space_group_name_H-M_alt 'P -6 m 2'
_space_group_IT_number 187
_space_group_name_Hall 'P -6 2'
_cell_length_a 4.6166
_cell_length_b 4.6166
_cell_length_c 2.8159
_cell_angle_alpha 90.00
_cell_angle_beta 90.00
_cell_angle_gamma 120.00
loop_
_atom_site_label
_atom_site_type_symbol
_atom_site_fract_x
_atom_site_fract_y
_atom_site_fract_z
_atom_site_occupancy
Ta1 Ta 0.0000 0.0000 0.0000 1
Mn1 Mn 0.3333 0.6667 0.5000 1
Hg1 Hg 0.6667 0.3333 0.5000 1
```

Results
* D(E_F): 2.78 states/eV/cell
* excess energy over the best structure of this formula in the dataset: 0.48 eV per formula unit
* M_tot: 2.28 Bohr magnetons per cell


No. 7
The following is a DFT calculation (PBE) of crystalline Ta4MnHg at its relaxed geometry.

Cell and atoms, written as CIF:
```
data_Ta4MnHg
_space_group_name_H-M_alt 'F -4 3 m'
_space_group_IT_number 216
_space_group_name_Hall 'F -4 2 3'
_cell_length_a 7.728
_cell_length_b 7.728
_cell_length_c 7.728
_cell_angle_alpha 90.00
_cell_angle_beta 90.00
_cell_angle_gamma 90.00
loop_
_atom_site_label
_atom_site_type_symbol
_atom_site_fract_x
_atom_site_fract_y
_atom_site_fract_z
_atom_site_occupancy
Ta1 Ta 0.124 0.124 0.376 1
Mn1 Mn 0.250 0.250 0.750 1
Hg1 Hg 0.000 0.000 0.000 1
```

Results
* D(E_F): 26.16 states/eV/cell
* M_tot: 11.77 Bohr magnetons per cell


No. 8
The following is a DFT calculation (PBE) of crystalline TaMnHg at its relaxed geometry.

Cell and atoms, written as CIF:
```
data_TaMnHg
_space_group_name_H-M_alt 'I 4 m m'
_space_group_IT_number 107
_space_group_name_Hall 'I 4 -2'
_cell_length_a 3.223
_cell_length_b 3.223
_cell_length_c 9.670
_cell_angle_alpha 90.00
_cell_angle_beta 90.00
_cell_angle_gamma 90.00
loop_
_atom_site_label
_atom_site_type_symbol
_atom_site_fract_x
_atom_site_fract_y
_atom_site_fract_z
_atom_site_occupancy
Ta1 Ta 0.000 0.000 0.000 1
Mn1 Mn 0.000 0.000 0.385 1
Hg1 Hg 0.000 0.000 0.700 1
```

Results
* D(E_F): 1.99 states/eV/cell
* excess energy over the best structure of this formula in the dataset: 0.00 eV per formula unit
* M_tot: 0.06 Bohr magnetons per cell


Listing energy relative to the elements for the structures above in their given order: 7.45; 1.10; 6.15; 2.55; 2.08; 1.32; 3.48; 0.84 eV per formula unit.